# 1
The following is a DFT calculation (PBE-GGA) of a relaxed Rb2AsPdSe4 crystal.

Unit cell a=6.858 b=7.627 c=11.990 alpha=82.61 beta=73.38 gamma=63.28
Positions (direct):
Rb (0.828, 0.000, 0.344)
Se (0.882, 0.791, 0.905)
Se (0.578, 0.209, 0.095)
Pd (0.750, 0.500, 0.500)
Rb (0.922, 0.500, 0.156)
Pd (0.000, 0.000, 0.000)
As (0.250, 0.500, 0.500)
Rb (0.578, 0.500, 0.844)
As (0.500, 0.000, 0.000)
Se (0.423, 0.709, 0.405)
Se (0.868, 0.709, 0.595)
Rb (0.172, 0.000, 0.656)
Se (0.327, 0.791, 0.095)
Se (0.172, 0.291, 0.405)
Se (0.537, 0.291, 0.595)
Se (0.213, 0.209, 0.905)

Properties
Energy   -29.56 eV per formula unit
Volume   33.550 Å³/atom
Crystal system   orthorhombic
Space-group type   Fddd (70)
Energy relative to the elements, uncorrected   -0.48 eV/atom



# 2
The following is a DFT calculation (PBE-GGA) of a relaxed Nb3TlW crystal.

Unit cell a=4.987 b=4.987 c=4.987 alpha=90.00 beta=90.00 gamma=90.00
Positions (direct):
Nb (0.500, 0.000, 0.000)
Nb (0.000, 0.500, 0.000)
Nb (0.000, 0.000, 0.500)
W (0.500, 0.500, 0.500)
Tl (0.000, 0.000, 0.000)

Properties
Energy   -32.56 eV per formula unit
Formation energy   2.5932 eV/atom
Excess energy over the best structure of this formula in the dataset   132.2 kJ per mole of atoms
Volume   24.802 Å³/atom
Crystal system   cubic
Space-group type   Pm-3m (221)



# 3
The following is a DFT calculation (PBE-GGA) of a relaxed PmErAg6 crystal.

Unit cell a=4.560 b=5.186 c=8.261 alpha=81.11 beta=73.98 gamma=63.92
Positions (direct):
Ag (0.249, 0.869, 0.634)
Ag (0.747, 0.624, 0.882)
Ag (0.505, 0.238, 0.753)
Pm (0.000, 0.500, 0.500)
Ag (0.495, 0.762, 0.247)
Er (0.000, 0.000, 0.000)
Ag (0.751, 0.131, 0.366)
Ag (0.253, 0.376, 0.118)

Properties
Energy   -28.01 eV per formula unit
Formation energy   -0.1988 eV/atom
Volume   21.067 Å³/atom
Crystal system   monoclinic
Space-group type   C2/m (12)



# 4
The following is a DFT calculation (PBE-GGA) of a relaxed CaLa4Au5 crystal.

Unit cell a=3.739 b=3.739 c=19.009 alpha=90.00 beta=90.00 gamma=90.00
Positions (direct):
Au (0.500, 0.500, 0.901)
La (0.000, 0.000, 0.195)
Au (0.500, 0.500, 0.500)
Ca (0.000, 0.000, 0.000)
La (0.000, 0.000, 0.805)
Au (0.500, 0.500, 0.298)
La (0.000, 0.000, 0.601)
La (0.000, 0.000, 0.399)
Au (0.500, 0.500, 0.099)
Au (0.500, 0.500, 0.702)

Properties
Energy   -45.94 eV per formula unit
Formation energy   -0.7843 eV/atom
Volume   26.579 Å³/atom
Crystal system   tetragonal
Space-group type   P4/mmm (123)



# 5
The following is a DFT calculation (PBE-GGA) of a relaxed Tl2ZnPSe4 crystal.

Unit cell a=6.827 b=7.480 c=6.998 alpha=126.54 beta=123.68 gamma=82.83
Positions (direct):
Tl (0.525, 0.025, 0.050)
Tl (0.296, 0.296, 0.592)
P (0.745, 0.745, 0.491)
Se (0.639, 0.568, 0.642)
Se (0.359, 0.761, 0.206)
Se (0.847, 0.445, 0.206)
Zn (0.973, 0.473, 0.945)
Se (0.003, 0.075, 0.642)

Properties
Energy   -27.64 eV per formula unit
Volume   28.421 Å³/atom
Crystal system   monoclinic
Space-group type   C2 (5)
Energy relative to the elements, uncorrected   -0.29 eV/atom



# 6
The following is a DFT calculation (PBE-GGA) of a relaxed Nb3Al2N crystal.

Unit cell a=7.079 b=7.079 c=7.079 alpha=90.00 beta=90.00 gamma=90.00
Positions (direct):
Nb (0.125, 0.205, 0.455)
Nb (0.205, 0.455, 0.125)
Nb (0.795, 0.955, 0.375)
Nb (0.455, 0.125, 0.205)
Nb (0.295, 0.545, 0.625)
Nb (0.875, 0.705, 0.045)
N (0.375, 0.375, 0.375)
Nb (0.625, 0.295, 0.545)
Al (0.071, 0.071, 0.071)
Nb (0.045, 0.875, 0.705)
N (0.125, 0.625, 0.875)
Nb (0.705, 0.045, 0.875)
Al (0.679, 0.679, 0.679)
Nb (0.375, 0.795, 0.955)
Al (0.321, 0.179, 0.821)
Nb (0.545, 0.625, 0.295)
Al (0.429, 0.929, 0.571)
Al (0.929, 0.571, 0.429)
Al (0.821, 0.321, 0.179)
N (0.625, 0.875, 0.125)
N (0.875, 0.125, 0.625)
Nb (0.955, 0.375, 0.795)
Al (0.179, 0.821, 0.321)
Al (0.571, 0.429, 0.929)

Properties
Energy   -50.14 eV per formula unit
Volume   14.778 Å³/atom
Crystal system   cubic
Space-group type   P4_132 (213)
Energy relative to the elements, uncorrected   -0.69 eV/atom



# 7
The following is a DFT calculation (PBE-GGA) of a relaxed Li3MgBi4 crystal.

Unit cell a=3.825 b=3.825 c=13.563 alpha=90.00 beta=90.00 gamma=90.00
Positions (direct):
Bi (0.000, 0.000, 0.873)
Mg (0.500, 0.500, 0.000)
Li (0.500, 0.500, 0.500)
Bi (0.000, 0.000, 0.623)
Li (0.500, 0.500, 0.745)
Li (0.500, 0.500, 0.255)
Bi (0.000, 0.000, 0.127)
Bi (0.000, 0.000, 0.377)

Properties
Energy   -25.15 eV per formula unit
Formation energy   -0.2867 eV/atom
Volume   24.800 Å³/atom
Crystal system   tetragonal
Space-group type   P4/mmm (123)



# 8
The following is a DFT calculation (PBE-GGA) of a relaxed SbPbN3 crystal.

Unit cell a=4.250 b=4.250 c=4.250 alpha=90.00 beta=90.00 gamma=90.00
Positions (direct):
Sb (0.500, 0.500, 0.500)
N (0.000, 0.500, 0.000)
Pb (0.000, 0.000, 0.000)
N (0.500, 0.000, 0.000)
N (0.000, 0.000, 0.500)

Properties
Energy   -22.63 eV per formula unit
Volume   15.350 Å³/atom
Crystal system   cubic
Space-group type   Pm-3m (221)
Energy relative to the elements, uncorrected   2.04 eV/atom



# 9
The following is a DFT calculation (PBE-GGA) of a relaxed Mo3Os5 crystal.

Unit cell a=7.709 b=7.709 c=4.879 alpha=90.00 beta=90.00 gamma=120.00
Positions (direct):
Os (0.200, 0.000, 0.250)
Mo (0.413, 0.412, 0.250)
Os (0.800, 0.800, 0.250)
Mo (0.587, 0.000, 0.250)
Os (0.800, 0.000, 0.750)
Os (0.000, 0.200, 0.250)
Mo (0.000, 0.413, 0.750)
Os (0.333, 0.667, 0.500)
Mo (0.412, 0.000, 0.750)
Os (0.000, 0.800, 0.750)
Mo (0.000, 0.588, 0.250)
Os (0.200, 0.200, 0.750)
Os (0.333, 0.667, 0.000)
Os (0.667, 0.333, 0.000)
Mo (0.588, 0.588, 0.750)
Os (0.667, 0.333, 0.500)

Properties
Energy   -84.53 eV per formula unit
Formation energy   0.5137 eV/atom
Excess energy over the best structure of this formula in the dataset   43.2 kJ per mole of atoms
Volume   15.692 Å³/atom
Crystal system   hexagonal
Space-group type   P6_3/mcm (193)



# 10
The following is a DFT calculation (PBE-GGA) of a relaxed LaBe2Al crystal.

Unit cell a=3.186 b=3.186 c=6.793 alpha=90.00 beta=90.00 gamma=89.95
Positions (direct):
Al (0.500, 0.500, 0.750)
La (0.500, 0.500, 0.250)
Be (0.000, 0.000, 0.575)
Be (0.000, 0.000, 0.925)

Properties
Energy   -15.32 eV per formula unit
Formation energy   0.2000 eV/atom
Volume   17.237 Å³/atom
Crystal system   tetragonal
Space-group type   P4/mmm (123)



# 11
The following is a DFT calculation (PBE-GGA) of a relaxed Al4Co2NiPt crystal.

Unit cell a=4.139 b=4.139 c=7.196 alpha=73.28 beta=73.28 gamma=60.00
Positions (direct):
Al (0.379, 0.379, 0.862)
Al (0.621, 0.621, 0.138)
Pt (0.000, 0.000, 0.000)
Al (0.871, 0.871, 0.386)
Co (0.749, 0.749, 0.752)
Al (0.129, 0.129, 0.614)
Ni (0.500, 0.500, 0.500)
Co (0.251, 0.251, 0.248)

Properties
Energy   -46.47 eV per formula unit
Formation energy   -0.6830 eV/atom
Volume   12.590 Å³/atom
Crystal system   trigonal
Space-group type   R-3m (166)



# 12
The following is a DFT calculation (PBE-GGA) of a relaxed AcAgO3 crystal.

Unit cell a=4.208 b=5.848 c=13.514 alpha=90.00 beta=90.00 gamma=90.00
Positions (direct):
Ac (0.260, 0.250, 0.416)
O (0.852, 0.500, 0.750)
O (0.148, 0.500, 0.250)
O (0.255, 0.492, 0.579)
O (0.745, 0.492, 0.079)
Ac (0.740, 0.250, 0.916)
Ac (0.740, 0.750, 0.584)
O (0.745, 0.008, 0.079)
O (0.255, 0.992, 0.921)
O (0.852, 0.000, 0.750)
O (0.148, 0.000, 0.250)
O (0.255, 0.008, 0.579)
Ag (0.090, 0.250, 0.672)
O (0.745, 0.992, 0.421)
Ac (0.260, 0.750, 0.084)
Ag (0.910, 0.750, 0.328)
O (0.255, 0.508, 0.921)
Ag (0.910, 0.250, 0.172)
Ag (0.090, 0.750, 0.828)
O (0.745, 0.508, 0.421)

Properties
Energy   -30.78 eV per formula unit
Volume   16.627 Å³/atom
Crystal system   orthorhombic
Space-group type   Pbcm (57)
Energy relative to the elements, uncorrected   -1.79 eV/atom



# 13
The following is a DFT calculation (PBE-GGA) of a relaxed Tb2ReMo3 crystal.

Unit cell a=5.515 b=5.515 c=5.492 alpha=89.92 beta=120.15 gamma=120.08
Positions (direct):
Re (0.000, 0.000, 0.000)
Tb (0.748, 0.374, 0.123)
Mo (0.000, 0.000, 0.500)
Mo (0.500, 0.500, 0.500)
Tb (0.252, 0.626, 0.877)
Mo (0.500, 0.000, 0.500)

Properties
Energy   -54.09 eV per formula unit
Formation energy   0.0182 eV/atom
Volume   19.634 Å³/atom
Crystal system   trigonal
Space-group type   R-3m (166)



# 14
The following is a DFT calculation (PBE-GGA) of a relaxed MgCo2H6 crystal.

Unit cell a=3.995 b=4.318 c=4.318 alpha=119.97 beta=90.06 gamma=90.06
Positions (direct):
H (0.741, 0.596, 0.596)
H (0.259, 0.596, 0.999)
H (0.741, 0.001, 0.404)
Co (0.500, 0.333, 0.667)
H (0.259, 0.404, 0.404)
Mg (0.000, 0.000, 0.000)
Co (0.500, 0.667, 0.333)
H (0.741, 0.404, 0.001)
H (0.259, 0.999, 0.596)

Properties
Energy   -36.10 eV per formula unit
Volume   7.171 Å³/atom
Crystal system   monoclinic
Space-group type   C2/m (12)



# 15
The following is a DFT calculation (PBE-GGA) of a relaxed AcLa4Nd3 crystal.

Unit cell a=3.567 b=9.239 c=9.239 alpha=97.86 beta=90.00 gamma=90.00
Positions (direct):
La (0.500, 0.258, 0.742)
Nd (0.000, 0.000, 0.500)
Ac (0.500, 0.000, 0.000)
Nd (0.500, 0.500, 0.500)
La (0.000, 0.261, 0.261)
Nd (0.000, 0.500, 0.000)
La (0.500, 0.742, 0.258)
La (0.000, 0.739, 0.739)

Properties
Energy   -35.46 eV per formula unit
Formation energy   0.3330 eV/atom
Excess energy over the best structure of this formula in the dataset   30.7 kJ per mole of atoms
Volume   37.699 Å³/atom
Crystal system   orthorhombic
Space-group type   Cmmm (65)



# 16
The following is a DFT calculation (PBE-GGA) of a relaxed Tc2Pb crystal.

Unit cell a=8.868 b=8.868 c=4.293 alpha=90.00 beta=90.00 gamma=159.64
Positions (direct):
Pb (0.082, 0.918, 0.250)
Pb (0.918, 0.082, 0.750)
Tc (0.258, 0.742, 0.750)
Tc (0.360, 0.640, 0.250)
Tc (0.640, 0.360, 0.750)
Tc (0.742, 0.258, 0.250)

Properties
Energy   -23.10 eV per formula unit
Formation energy   0.4484 eV/atom
Excess energy over the best structure of this formula in the dataset   8.2 kJ per mole of atoms
Volume   19.578 Å³/atom
Crystal system   orthorhombic
Space-group type   Cmcm (63)



# 17
The following is a DFT calculation (PBE-GGA) of a relaxed CsTlBr3 crystal.

Unit cell a=21.819 b=10.128 c=10.128 alpha=152.91 beta=150.21 gamma=29.79
Positions (direct):
Cs (0.238, 0.955, 0.045)
Tl (0.725, 0.858, 0.142)
Br (0.023, 0.323, 0.677)
Br (0.732, 0.263, 0.737)
Br (0.977, 0.677, 0.323)
Br (0.268, 0.737, 0.263)
Br (0.385, 0.446, 0.554)
Tl (0.275, 0.142, 0.858)
Cs (0.762, 0.045, 0.955)
Br (0.615, 0.554, 0.446)

Properties
Energy   -13.22 eV per formula unit
Volume   45.929 Å³/atom
Crystal system   monoclinic
Space-group type   C2/m (12)
Energy relative to the elements, uncorrected   -1.00 eV/atom



# 18
The following is a DFT calculation (PBE-GGA) of a relaxed Pa7Tc3Ge crystal.

Unit cell a=5.418 b=7.300 c=7.300 alpha=83.56 beta=111.61 gamma=111.61
Positions (direct):
Pa (0.667, 0.399, 0.935)
Ge (0.500, 0.500, 0.500)
Tc (0.500, 0.000, 0.000)
Pa (0.333, 0.601, 0.065)
Tc (0.000, 0.780, 0.220)
Pa (0.333, 0.065, 0.601)
Pa (0.667, 0.935, 0.399)
Pa (0.000, 0.500, 0.500)
Pa (0.816, 0.816, 0.816)
Pa (0.184, 0.184, 0.184)
Tc (0.000, 0.220, 0.780)

Properties
Energy   -103.68 eV per formula unit
Formation energy   -0.1362 eV/atom
Volume   22.676 Å³/atom
Crystal system   monoclinic
Space-group type   C2/m (12)



# 19
The following is a DFT calculation (PBE-GGA) of a relaxed Pm3Nd6Tl crystal.

Unit cell a=3.664 b=12.526 c=15.077 alpha=94.14 beta=90.00 gamma=90.00
Positions (direct):
Tl (0.250, 0.311, 0.941)
Tl (0.750, 0.689, 0.059)
Pm (0.750, 0.898, 0.417)
Pm (0.750, 0.946, 0.197)
Nd (0.250, 0.887, 0.997)
Pm (0.250, 0.054, 0.803)
Nd (0.750, 0.620, 0.456)
Nd (0.250, 0.380, 0.544)
Pm (0.750, 0.573, 0.682)
Nd (0.250, 0.695, 0.248)
Nd (0.750, 0.305, 0.752)
Nd (0.750, 0.437, 0.107)
Nd (0.250, 0.812, 0.609)
Nd (0.250, 0.205, 0.187)
Nd (0.750, 0.188, 0.391)
Nd (0.250, 0.563, 0.893)
Pm (0.250, 0.427, 0.318)
Pm (0.250, 0.102, 0.583)
Nd (0.750, 0.795, 0.813)
Nd (0.750, 0.113, 0.003)

Properties
Energy   -45.15 eV per formula unit
Formation energy   0.0075 eV/atom
Excess energy over the best structure of this formula in the dataset   0.6 kJ per mole of atoms
Volume   34.509 Å³/atom
Crystal system   monoclinic
Space-group type   P2_1/m (11)



# 20
The following is a DFT calculation (PBE-GGA) of a relaxed MgCdTe3 crystal.

Unit cell a=5.474 b=5.474 c=5.474 alpha=90.00 beta=90.00 gamma=90.00
Positions (direct):
Te (0.000, 0.500, 0.000)
Te (0.500, 0.000, 0.000)
Cd (0.500, 0.500, 0.500)
Mg (0.000, 0.000, 0.000)
Te (0.000, 0.000, 0.500)

Properties
Energy   -10.81 eV per formula unit
Excess energy over the best structure of this formula in the dataset   0.0 kJ per mole of atoms
Volume   32.797 Å³/atom
Crystal system   cubic
Space-group type   Pm-3m (221)
Energy relative to the elements, uncorrected   0.22 eV/atom



# 21
The following is a DFT calculation (PBE-GGA) of a relaxed LaZr2In crystal.

Unit cell a=5.752 b=5.752 c=5.752 alpha=132.65 beta=132.65 gamma=69.21
Positions (direct):
Zr (0.250, 0.750, 0.500)
In (0.500, 0.500, 0.000)
La (0.750, 0.250, 0.500)
Zr (0.000, 0.000, 0.000)

Properties
Energy   -25.15 eV per formula unit
Formation energy   -0.0978 eV/atom
Volume   25.266 Å³/atom
Crystal system   tetragonal
Space-group type   I-4m2 (119)



# 22
The following is a DFT calculation (PBE-GGA) of a relaxed AlPdAu2 crystal.

Unit cell a=5.602 b=5.602 c=5.766 alpha=119.03 beta=119.03 gamma=90.07
Positions (direct):
Au (0.691, 0.691, 0.000)
Au (0.250, 0.750, 0.500)
Al (0.758, 0.758, 0.516)
Au (0.750, 0.250, 0.500)
Au (0.309, 0.309, 0.000)
Al (0.242, 0.242, 0.484)
Pd (0.810, 0.190, 0.000)
Pd (0.190, 0.810, 0.000)

Properties
Energy   -17.23 eV per formula unit
Formation energy   -0.4354 eV/atom
Volume   16.445 Å³/atom
Crystal system   orthorhombic
Space-group type   Fmmm (69)